VASP calculation (PBE-GGA) on a relaxed NpScSi crystal.

Cell and atoms, written as extended XYZ:
```
3
Lattice="-1.736 -1.641 3.910 -2.833 2.581 2.510 -4.447 -1.069 0.261" Properties=species:S:1:pos:R:3 pbc="T T T"
Sc -6.762 -0.096 5.011
Si 0.000 0.000 0.000
Np -2.254 -0.032 1.670
```

- VASP energy (eV/atom) = -8.166
- energy above the lowest structure with this stoichiometry (meV/atom) = 0.0
- ρ (Mg/m³) = 7.571